This record from OQMD describes KLuSeO after structural relaxation. The functional is PBE.

Structure (extended XYZ):
```
16
Lattice="5.6914 0.0000 0.0000 0.0000 5.6909 0.0000 -2.7466 0.0000 11.0877" Properties=species:S:1:pos:R:3 pbc="T T T"
K 0.0124 0.0000 1.1727
K 0.0898 0.0070 9.9141
K 2.8549 2.8525 1.1736
K 2.9323 2.8454 9.9149
Lu -1.3695 1.4805 6.5112
Lu 1.4696 1.4798 4.5767
Lu 1.4752 4.3252 6.5110
Lu 4.3143 4.3260 4.5765
Se 0.0070 2.8480 2.4510
Se 0.0904 2.8519 8.6366
Se 2.8544 0.0065 2.4511
Se 2.9377 0.0026 8.6367
O 0.0494 0.0600 5.5438
O 0.0500 2.9087 5.5438
O 2.8947 0.0632 5.5438
O 2.8954 2.9055 5.5438
```

For the volume, the calculation gives 22.44 A^3/atom. As for the symmetry: P2_1. The distance to the lowest polymorph of the same formula is 1.08 kJ per mole of atoms.


This record from OQMD describes InFeRePt after structural relaxation. The functional is PBE.

Structure (extended XYZ):
```
4
Lattice="0.0000 3.1603 3.1603 3.1603 0.0000 3.1603 3.1603 3.1603 0.0000" Properties=species:S:1:pos:R:3 pbc="T T T"
In 0.0000 0.0000 0.0000
Fe 1.5802 1.5802 1.5802
Re 3.1603 3.1603 3.1603
Pt 4.7405 4.7405 4.7405
```

For the volume, the calculation gives 15.78 A^3/atom. As for the symmetry: F-43m. The distance to the lowest polymorph of the same formula is 0.00 kJ per mole of atoms.


This record from OQMD describes RbTbB4 after structural relaxation. The functional is PBE.

Structure (extended XYZ):
```
6
Lattice="3.2417 0.0000 0.0000 -1.6209 2.8074 0.0000 0.0000 0.0000 9.1125" Properties=species:S:1:pos:R:3 pbc="T T T"
Rb 0.0000 0.0000 0.0000
Tb 0.0000 0.0000 4.5562
B 0.0000 1.8716 2.6427
B 0.0000 1.8716 6.4698
B 1.6209 0.9358 2.6427
B 1.6209 0.9358 6.4698
```

For the volume, the calculation gives 13.82 A^3/atom. As for the symmetry: P6/mmm. The distance to the lowest polymorph of the same formula is 0.00 kJ per mole of atoms.